! Ag6PtBr12 (PBE, relaxed); values from VASP
&SYSTEM
  ibrav = 0, nat = 19, ntyp = 3
/
ATOMIC_SPECIES
Ag 107.87 Ag.upf
Br 79.90 Br.upf
Pt 195.08 Pt.upf
ATOMIC_POSITIONS angstrom
Ag -1.9958 -4.0697 3.9646
Ag -5.3030 -3.3633 8.4348
Ag -3.4336 0.5767 4.9134
Ag -2.0744 -0.1043 10.3085
Ag 1.2329 -0.8107 5.8383
Ag -0.6366 -4.7507 9.3598
Br -7.5045 -2.9166 6.5237
Br -4.1328 -1.0070 8.6632
Br -3.6446 -2.1996 4.8356
Br 1.0724 -6.6444 7.8794
Br -0.5453 2.4057 10.0647
Br -3.5249 -6.5797 4.2084
Br -5.1425 2.4704 6.3937
Br -2.8732 -4.6398 7.9600
Br -0.4256 -1.9744 9.4375
Br 3.4343 -1.2574 7.7494
Br -1.1969 0.4658 6.3131
Br 0.0626 -3.1670 5.6099
Pt 0.0000 0.0000 0.0000
CELL_PARAMETERS angstrom
-4.0169 4.6158 5.7558
-5.0767 -6.2994 2.2616
5.0235 -2.4904 6.2557
! * ΔE_f (raw): -270 meV/atom
! * DFT total energy: -48.35 eV per cell
! * magnetization: 0.0 μB/f.u.
! * space group: R-3, No. 148

! MgAuNF2 (PBE, relaxed); values from VASP
&SYSTEM
  ibrav = 0, nat = 5, ntyp = 4
/
ATOMIC_SPECIES
Mg 24.30 Mg.upf
F 19.00 F.upf
N 14.01 N.upf
Au 196.97 Au.upf
ATOMIC_POSITIONS angstrom
Mg 2.2984 2.2984 1.9192
F 2.2984 0.0000 0.0000
F 0.0000 2.2984 0.0000
N 0.0000 0.0000 1.9192
Au 0.0000 0.0000 0.0000
CELL_PARAMETERS angstrom
4.5968 0.0000 0.0000
0.0000 4.5968 0.0000
0.0000 0.0000 3.8385
! * ΔE_f (raw): -181 meV/atom
! * DFT total energy: -17.85 eV per cell
! * magnetization: 0.0 μB/f.u.
! * space group: P4/mmm, No. 123

! FeTc3As (PBE, relaxed); values from VASP
&SYSTEM
  ibrav = 0, nat = 5, ntyp = 3
/
ATOMIC_SPECIES
Tc 98.00 Tc.upf
Fe 55.84 Fe.upf
As 74.92 As.upf
ATOMIC_POSITIONS angstrom
Tc 0.0000 2.2094 0.0000
Tc 0.0000 0.0000 2.2094
Tc 2.2094 0.0000 0.0000
Fe 0.0000 0.0000 0.0000
As 2.2094 2.2094 2.2094
CELL_PARAMETERS angstrom
4.4188 0.0000 0.0000
0.0000 4.4188 0.0000
0.0000 0.0000 4.4188
! * calculated formation energy: 6.4 eV per formula unit
! * DFT total energy: -37.84 eV per cell
! * magnetization: 0.8 μB/f.u.
! * space group: Pm-3m, No. 221

! Na2OsBr4O2 (PBE, relaxed); values from VASP
&SYSTEM
  ibrav = 0, nat = 9, ntyp = 4
/
ATOMIC_SPECIES
Br 79.90 Br.upf
Os 190.23 Os.upf
O 16.00 O.upf
Na 22.99 Na.upf
ATOMIC_POSITIONS angstrom
Br 1.4630 4.7556 0.9517
Br 4.9837 5.1143 1.1957
Br 1.4630 2.6313 4.0740
Br 4.9837 2.9900 4.3180
Os 3.3562 -0.7561 -0.5144
O 3.2823 7.0599 4.8032
O 3.1643 0.6857 0.4665
Na 3.3981 2.5569 1.7395
Na 3.0485 5.1887 3.5301
CELL_PARAMETERS angstrom
6.7124 -1.5122 -1.0288
-0.1329 6.7399 0.0464
-0.1329 2.5179 6.2521
! * ΔE_f (raw): -960 meV/atom
! * DFT total energy: -39.12 eV per cell
! * magnetization: 0.0 μB/f.u.
! * space group: C2/m, No. 12

! K2PrSmO4 (PBE, relaxed); values from VASP
&SYSTEM
  ibrav = 0, nat = 8, ntyp = 4
/
ATOMIC_SPECIES
K 39.10 K.upf
Pr 140.91 Pr.upf
O 16.00 O.upf
Sm 150.36 Sm.upf
ATOMIC_POSITIONS angstrom
K 1.8165 -1.1017 3.1360
K 0.0000 2.0439 3.1902
Pr 0.0000 0.0000 0.0000
O 1.8165 1.0596 1.2261
O 0.0000 4.1440 1.2705
O 0.0000 -0.0563 5.1098
O 1.8165 3.0281 5.1542
Sm 1.8165 3.1456 0.0541
CELL_PARAMETERS angstrom
3.6330 0.0000 0.0000
0.0000 6.2912 0.1083
0.0000 -2.2035 6.2721
! * ΔE_f (raw): -2618 meV/atom
! * DFT total energy: -52.47 eV per cell
! * magnetization: 0.0 μB/f.u.
! * space group: P2/m, No. 10

! ThZnPt6 (PBE, relaxed); values from VASP
&SYSTEM
  ibrav = 0, nat = 8, ntyp = 3
/
ATOMIC_SPECIES
Pt 195.08 Pt.upf
Zn 65.41 Zn.upf
Th 232.04 Th.upf
ATOMIC_POSITIONS angstrom
Pt 2.0749 0.0000 2.1464
Pt 0.0000 2.0749 5.8246
Pt 2.0749 2.0749 3.9855
Pt 2.0749 0.0000 5.8246
Pt 0.0000 2.0749 2.1464
Pt 2.0749 2.0749 0.0000
Zn 0.0000 0.0000 3.9855
Th 0.0000 0.0000 0.0000
CELL_PARAMETERS angstrom
4.1498 0.0000 0.0000
0.0000 4.1498 0.0000
0.0000 0.0000 7.9710
! * calculated formation energy: -5.8 eV per formula unit
! * DFT total energy: -50.70 eV per cell
! * magnetization: 0.0 μB/f.u.
! * space group: P4/mmm, No. 123

The highest DFT total energy belongs to which entry? MgAuNF2